DFT (PBE) results for a relaxed NdSm10Tm6 crystal.

```
data_NdSm10Tm6
_space_group_name_H-M_alt 'P -3 1 m'
_space_group_IT_number 162
_space_group_name_Hall '-P 3 2'
_cell_length_a 9.7477
_cell_length_b 9.7477
_cell_length_c 6.8492
_cell_angle_alpha 90.00
_cell_angle_beta 90.00
_cell_angle_gamma 120.00
loop_
_atom_site_label
_atom_site_fract_x
_atom_site_fract_y
_atom_site_fract_z
Nd1 0.0000 0.0000 0.0000
Sm1 0.0000 0.2783 0.3192
Sm2 0.3333 0.6667 0.0000
Sm3 0.3333 0.6667 0.5000
Tm1 0.0000 0.3713 0.8107
```

DFT (PBE) results for a relaxed LiMg2Zr crystal.

```
data_LiMg2Zr
_space_group_name_H-M_alt 'C m m m'
_space_group_IT_number 65
_space_group_name_Hall '-C 2 2'
_cell_length_a 3.320
_cell_length_b 4.992
_cell_length_c 10.487
_cell_angle_alpha 90.00
_cell_angle_beta 90.00
_cell_angle_gamma 90.00
loop_
_atom_site_label
_atom_site_fract_x
_atom_site_fract_y
_atom_site_fract_z
Li1 0.000 0.000 0.000
Mg1 0.000 0.500 0.242
Zr1 0.000 0.000 0.500
```

Number 1: magnetization 0.00 μB/atom, density 7.84 g cm⁻³, formation energy 0.13 eV per atom. Number 2: magnetization 0.00 μB/atom, density 2.80 g cm⁻³, formation energy 0.03 eV per atom.